BaScF2 | GGA-PBEsol | optimized geometry

Values from the calculation:
Crystal system: tetragonal
SG: I-42d, No. 122
DOS at the Fermi energy (states/eV per cell): 6.9
ΔE_f (raw) (kJ/mol of formula units): -901
Total magnetization (μB/cell): 0.01

Cell: 7.4415 7.4415 7.4415 Å, 139.73 139.73 58.26°
Sites, in units of the cell vectors:
Ba1 0.0000 0.0000 0.0000
Ba2 0.7500 0.2500 0.5000
Sc1 0.2500 0.7500 0.5000
Sc2 0.5000 0.5000 0.0000
F1 0.3116 0.6250 0.1866
F2 0.3750 0.5616 0.6866
F3 0.4384 0.1250 0.8134
F4 0.8750 0.6884 0.3134